[1]
# BiTeAs2Se | the Alexandria database | PBE | relaxed
data_BiTeAs2Se
_cell_length_a 5.3369
_cell_length_b 5.3369
_cell_length_c 5.2545
_cell_angle_alpha 90.00
_cell_angle_beta 90.00
_cell_angle_gamma 90.00
_space_group_name_H-M_alt 'P 4/m m m'
_space_group_IT_number 123
_space_group_name_Hall '-P 4 2'
loop_
_atom_site_label
_atom_site_type_symbol
_atom_site_fract_x
_atom_site_fract_y
_atom_site_fract_z
_atom_site_occupancy
Bi1 Bi 0.0000 0.0000 0.0000 1
Te1 Te 0.5000 0.5000 0.5000 1
As1 As 0.0000 0.5000 0.5000 1
Se1 Se 0.5000 0.5000 0.0000 1
# calculated density = 6273 kg/m3
# DOS(E_F) = 4.0 states/eV per cell
# total magnetization = 0.000 μB/f.u.
# V = 149.7 Å³/f.u.
# energy above the lowest structure with this stoichiometry = 0 meV/atom
# crystal system = tetragonal
# formation energy from raw total energies = 16.88 kcal/mol of atoms

***

[2]
# LiGe2Pt2 | the Alexandria database | PBE | relaxed
data_LiGe2Pt2
_cell_length_a 4.2823
_cell_length_b 4.2823
_cell_length_c 10.4884
_cell_angle_alpha 90.00
_cell_angle_beta 90.00
_cell_angle_gamma 90.00
_space_group_name_H-M_alt 'I 4/m m m'
_space_group_IT_number 139
_space_group_name_Hall '-I 4 2'
loop_
_atom_site_label
_atom_site_type_symbol
_atom_site_fract_x
_atom_site_fract_y
_atom_site_fract_z
_atom_site_occupancy
Li1 Li 0.0000 0.0000 0.0000 1
Ge1 Ge 0.0000 0.5000 0.2500 1
Pt1 Pt 0.0000 0.0000 0.3727 1
# calculated density = 9366 kg/m3
# DOS(E_F) = 3.4 states/eV per cell
# total magnetization = 0.000 μB/f.u.
# V = 96.2 Å³/f.u.
# energy above the lowest structure with this stoichiometry = 142 meV/atom
# ΔH_f (0 K) = -0.372 eV per atom
# crystal system = tetragonal

***

[3]
# TcW3Au | the Alexandria database | PBE | relaxed
data_TcW3Au
_cell_length_a 4.7626
_cell_length_b 4.7626
_cell_length_c 4.7626
_cell_angle_alpha 90.00
_cell_angle_beta 90.00
_cell_angle_gamma 90.00
_space_group_name_H-M_alt 'P m -3 m'
_space_group_IT_number 221
_space_group_name_Hall '-P 4 2 3'
loop_
_atom_site_label
_atom_site_type_symbol
_atom_site_fract_x
_atom_site_fract_y
_atom_site_fract_z
_atom_site_occupancy
Tc1 Tc 0.0000 0.0000 0.0000 1
W1 W 0.0000 0.5000 0.5000 1
Au1 Au 0.5000 0.5000 0.5000 1
# calculated density = 13012 kg/m3
# DOS(E_F) = 11.4 states/eV per cell
# total magnetization = 0.001 μB/f.u.
# V = 108.0 Å³/f.u.
# energy above the lowest structure with this stoichiometry = 1065 meV/atom
# ΔH_f (0 K) = 2.957 eV per atom
# crystal system = cubic

***

[4]
# RbLi2InPb | the Alexandria database | PBE | relaxed
data_RbLi2InPb
_cell_length_a 5.4549
_cell_length_b 5.4549
_cell_length_c 6.7062
_cell_angle_alpha 90.00
_cell_angle_beta 90.00
_cell_angle_gamma 90.00
_space_group_name_H-M_alt 'P 4/m m m'
_space_group_IT_number 123
_space_group_name_Hall '-P 4 2'
loop_
_atom_site_label
_atom_site_type_symbol
_atom_site_fract_x
_atom_site_fract_y
_atom_site_fract_z
_atom_site_occupancy
Rb1 Rb 0.0000 0.0000 0.0000 1
Li1 Li 0.0000 0.5000 0.5000 1
In1 In 0.5000 0.5000 0.0000 1
Pb1 Pb 0.0000 0.0000 0.5000 1
# calculated density = 3506 kg/m3
# DOS(E_F) = 1.9 states/eV per cell
# total magnetization = 0.000 μB/f.u.
# V = 199.6 Å³/f.u.
# energy above the lowest structure with this stoichiometry = 267 meV/atom
# ΔH_f (0 K) = 0.220 eV per atom
# crystal system = tetragonal

***

[5]
# Y2HoH | the Alexandria database | PBE | relaxed
data_Y2HoH
_cell_length_a 3.3542
_cell_length_b 3.3542
_cell_length_c 8.4772
_cell_angle_alpha 90.00
_cell_angle_beta 90.00
_cell_angle_gamma 90.00
_space_group_name_H-M_alt 'P 4/m m m'
_space_group_IT_number 123
_space_group_name_Hall '-P 4 2'
loop_
_atom_site_label
_atom_site_type_symbol
_atom_site_fract_x
_atom_site_fract_y
_atom_site_fract_z
_atom_site_occupancy
Y1 Y 0.0000 0.0000 0.1927 1
Ho1 Ho 0.5000 0.5000 0.5000 1
H1 H 0.5000 0.5000 0.0000 1
# calculated density = 5985 kg/m3
# DOS(E_F) = 4.3 states/eV per cell
# total magnetization = 0.000 μB/f.u.
# V = 95.4 Å³/f.u.
# energy above the lowest structure with this stoichiometry = 313 meV/atom
# crystal system = tetragonal

***

[6]
# Na2ThI8 | the Alexandria database | PBE | relaxed
data_Na2ThI8
_cell_length_a 13.3067
_cell_length_b 13.0568
_cell_length_c 8.2568
_cell_angle_alpha 90.00
_cell_angle_beta 121.83
_cell_angle_gamma 90.00
_space_group_name_H-M_alt 'C 1 2/m 1'
_space_group_IT_number 12
loop_
_space_group_symop_operation_xyz
'x,y,z'
'-x,-y,-z'
'-x,y,-z'
'x,-y,z'
'x+1/2,y+1/2,z'
'-x+1/2,-y+1/2,-z'
'-x+1/2,y+1/2,-z'
'x+1/2,-y+1/2,z'
loop_
_atom_site_label
_atom_site_type_symbol
_atom_site_fract_x
_atom_site_fract_y
_atom_site_fract_z
_atom_site_occupancy
Na1 Na 0.1565 0.0000 0.1055 1
Th1 Th 0.0000 0.0000 0.5000 1
I1 I 0.0504 0.1613 0.2803 1
I2 I 0.0660 0.5000 0.6993 1
I3 I 0.2348 0.5000 0.1787 1
# calculated density = 3524 kg/m3
# DOS(E_F) = 0.0 states/eV per cell
# total magnetization = 0.000 μB/f.u.
# V = 609.4 Å³/f.u.
# crystal system = monoclinic
# formation energy from raw total energies = -22.44 kcal/mol of atoms

***

> Which of these has the lowest DOS(E_F)?

Na2ThI8